Density functional theory data (GGA-PBE) for crystalline Sr2LiPPb at its relaxed geometry.

The structure in CIF format:
```
data_Sr2LiPPb
_cell_length_a 5.944
_cell_length_b 5.944
_cell_length_c 4.601
_cell_angle_alpha 90.00
_cell_angle_beta 90.00
_cell_angle_gamma 90.00
_space_group_name_H-M_alt 'P 4/m m m'
_space_group_IT_number 123
_space_group_name_Hall '-P 4 2'
loop_
_atom_site_label
_atom_site_type_symbol
_atom_site_fract_x
_atom_site_fract_y
_atom_site_fract_z
Sr1 Sr 0.000 0.500 0.000
Li1 Li 0.000 0.000 0.500
P1 P 0.000 0.000 0.000
Pb1 Pb 0.500 0.500 0.500
```

## Properties
**Energy of formation**: -575 meV/atom
**Size of the total moment**: 0.000 μB/f.u.
**D(E_F)**: 4.5 states/eV/f.u.